Entry 1:
Crystalline HoTm2Zn at its relaxed geometry, computed with GGA-PBE.

formation enthalpy at 0 K: -0.03 eV per atom
magnetic moment: 0.0 μB/cell
space-group type: No. 123
relative energy among the computed polymorphs: 137 meV/atom

Cell: 4.695 4.693 4.693 Å, 90.00 90.00 90.00°
Sites, in units of the cell vectors:
Zn (0.500, 0.500, 0.500)
Tm (0.000, 0.000, 0.500)
Tm (0.000, 0.500, 0.000)
Ho (0.500, 0.000, 0.000)



Entry 2:
Crystalline ScMn2Cr at its relaxed geometry, computed with GGA-PBE.

formation enthalpy at 0 K: 0.37 eV per atom
magnetic moment: 2.0 μB/cell
space-group type: No. 166
relative energy among the computed polymorphs: 309 meV/atom

Cell: 8.304 8.304 8.304 Å, 19.84 19.84 19.84°
Site moments in Bohr magnetons follow the coordinates.
Sites, in units of the cell vectors:
Mn (0.489, 0.489, 0.489)  2.04
Mn (0.011, 0.011, 0.011)  2.04
Sc (0.250, 0.250, 0.250)  -0.32
Cr (0.750, 0.750, 0.750)  -1.61



Entry 3:
Crystalline TaTiNiN2 at its relaxed geometry, computed with GGA-PBE.

energy relative to the elements, uncorrected: 956 meV per atom
magnetic moment: 0.6 μB/cell
space-group type: No. 123

Cell: 3.938 3.938 5.653 Å, 90.00 90.00 90.00°
Site moments in Bohr magnetons follow the coordinates.
Sites, in units of the cell vectors:
Ni (0.500, 0.500, 0.500)  0.47
Ta (0.000, 0.000, 0.000)  -0.01
N (0.000, 0.500, 0.000)  0.23
N (0.500, 0.000, 0.000)  0.23
Ti (0.000, 0.000, 0.500)  -0.43



- The highest magnetic moment belongs to which entry?
  ScMn2Cr



- Which value of magnetic moment does entry 3 give?
  0.6 μB/cell